Entry 1:
Below is a relaxed Pr7NdY2 crystal, with properties calculated at the PBE level.

Geometry as POSCAR:
```
Pr7NdY2
1.0
9.1407 -2.8139 0.0000
9.1407 2.8139 0.0000
-3.4314 0.0000 7.1454
Pr Nd Y
7 1 2
Direct
0.0000 0.0000 0.0000 Pr
0.1289 0.1289 0.4306 Pr
0.1293 0.1293 0.8282 Pr
0.3449 0.3449 0.8444 Pr
0.6551 0.6551 0.1556 Pr
0.8707 0.8707 0.1718 Pr
0.8711 0.8711 0.5694 Pr
0.5000 0.5000 0.5000 Nd
0.2867 0.2867 0.2871 Y
0.7133 0.7133 0.7129 Y
```

Its density of states at the Fermi level is 14.04 states/eV per cell. The value obtained for the calculated total energy is -49.26 eV for the cell shown. The volume comes out at 36.76 A^3/atom. As for the formation energy: 0.189 eV/atom. The value obtained for the energy relative to the lowest polymorph listed for this composition is 0.00 kJ/mol of atoms.

---

Entry 2:
Below is a relaxed Pr2Nd7Y2 crystal, with properties calculated at the PBE level.

Geometry as POSCAR:
```
Pr2Nd7Y2
1.0
9.3645 -3.5619 0.0000
9.3645 3.5619 0.0000
-4.9740 0.0000 11.5840
Pr Nd Y
4 14 4
Direct
0.1056 0.6606 0.9685 Pr
0.3394 0.8944 0.5315 Pr
0.6606 0.1056 0.4685 Pr
0.8944 0.3394 0.0315 Pr
0.0030 0.9970 0.7500 Nd
0.1086 0.6552 0.4685 Nd
0.2975 0.3012 0.6221 Nd
0.3012 0.2975 0.1221 Nd
0.3448 0.8914 0.0315 Nd
0.4665 0.4700 0.3456 Nd
0.4700 0.4665 0.8456 Nd
0.5300 0.5335 0.1544 Nd
0.5335 0.5300 0.6544 Nd
0.6552 0.1086 0.9685 Nd
0.6988 0.7025 0.8779 Nd
0.7025 0.6988 0.3779 Nd
0.8914 0.3448 0.5315 Nd
0.9970 0.0030 0.2500 Nd
0.2029 0.2068 0.8161 Y
0.2068 0.2029 0.3161 Y
0.7932 0.7971 0.6839 Y
0.7971 0.7932 0.1839 Y
```

Its density of states at the Fermi level is 30.46 states/eV per cell. The value obtained for the calculated total energy is -108.50 eV for the cell shown. The volume comes out at 35.13 A^3/atom. As for the formation energy: 0.147 eV/atom. The value obtained for the energy relative to the lowest polymorph listed for this composition is 1.76 kJ/mol of atoms.

---

Entry 3:
Below is a relaxed Pr7Nd6Y16 crystal, with properties calculated at the PBE level.

Geometry as POSCAR:
```
Pr7Nd6Y16
1.0
0.0000 8.0552 8.0552
8.0552 0.0000 8.0552
8.0552 8.0552 0.0000
Pr Nd Y
7 6 16
Direct
0.0000 0.0000 0.0000 Pr
0.0000 0.0000 0.5000 Pr
0.0000 0.5000 0.0000 Pr
0.0000 0.5000 0.5000 Pr
0.5000 0.0000 0.0000 Pr
0.5000 0.0000 0.5000 Pr
0.5000 0.5000 0.0000 Pr
0.2594 0.2594 0.7406 Nd
0.2594 0.7406 0.2594 Nd
0.2594 0.7406 0.7406 Nd
0.7406 0.2594 0.2594 Nd
0.7406 0.2594 0.7406 Nd
0.7406 0.7406 0.2594 Nd
0.0472 0.6509 0.6509 Y
0.1290 0.1290 0.1290 Y
0.1290 0.1290 0.6129 Y
0.1290 0.6129 0.1290 Y
0.3491 0.3491 0.3491 Y
0.3491 0.3491 0.9528 Y
0.3491 0.9528 0.3491 Y
0.3871 0.8710 0.8710 Y
0.6129 0.1290 0.1290 Y
0.6509 0.0472 0.6509 Y
0.6509 0.6509 0.0472 Y
0.6509 0.6509 0.6509 Y
0.8710 0.3871 0.8710 Y
0.8710 0.8710 0.3871 Y
0.8710 0.8710 0.8710 Y
0.9528 0.3491 0.3491 Y
```

Its density of states at the Fermi level is 48.21 states/eV per cell. The value obtained for the calculated total energy is -158.71 eV for the cell shown. The volume comes out at 36.05 A^3/atom. As for the formation energy: 0.234 eV/atom.